[1]
CdIn2Ag5 | PBE | optimized geometry

Cell: 6.2876 6.2876 5.9565 Å, 122.32 122.33 89.21°
With the nearest neighbours (Å) after each atom.
Fractional positions:
1 Ag 0.2211 0.7232 0.9442  2 Cd 2.95-2.96, 6 Ag 2.95-3.16, 4 In 2.98
2 Ag 0.7232 0.2211 0.9443  2 Cd 2.95-2.96, 6 Ag 2.95-3.16, 4 In 2.98
3 Ag 0.2211 0.2211 0.9442  4 In 2.96, 2 Cd 2.98, 6 Ag 2.98-3.16
4 Ag 0.7205 0.7205 0.4409  8 Ag 2.95-2.98, 4 In 3.14
5 Ag 0.7232 0.7231 0.9443  4 In 2.96, 6 Ag 2.98-3.16, 2 Cd 2.98
6 In 0.7220 0.2220 0.4441  10 Ag 2.96-3.14, 2 Cd 3.14
7 In 0.2221 0.7220 0.4441  10 Ag 2.96-3.14, 2 Cd 3.14
8 Cd 0.2239 0.2239 0.4479  8 Ag 2.95-2.98, 4 In 3.14

Values from the calculation:
Energy of formation = -0.0141 eV/atom
Mass density = 9.41 g/cm³
Symmetry = No. 42
E = -2.60 eV/atom


[2]
Cd3In2Ag7 | PBE | optimized geometry

Cell: 4.8772 4.8770 10.5194 Å, 104.73 75.27 95.60°
With the nearest neighbours (Å) after each atom.
Fractional positions:
1 Ag 0.5793 0.9191 0.8388  3 Ag 2.91-3.18, 4 Cd 2.91-2.93, 2 In 2.97
2 Ag 0.0000 0.0000 0.0000  8 Ag 2.91-2.92, 2 Cd 3.21
3 Ag 0.0813 0.4208 0.8388  3 Ag 2.91-3.18, 4 Cd 2.91-2.93, 2 In 2.97
4 Ag 0.9187 0.5792 0.1612  3 Ag 2.91-3.18, 4 Cd 2.91-2.93, 2 In 2.97
5 Ag 0.7482 0.7487 0.5000  4 In 2.94-2.95, 4 Cd 2.99, 1 Ag 3.26
6 Ag 0.2518 0.2513 0.5000  4 In 2.94-2.95, 4 Cd 2.99, 1 Ag 3.26
7 Ag 0.4207 0.0809 0.1612  3 Ag 2.91-3.18, 4 Cd 2.91-2.93, 2 In 2.97
8 In 0.3324 0.6669 0.3332  8 Ag 2.94-2.97, 3 Cd 3.28-3.29
9 In 0.6676 0.3331 0.6668  8 Ag 2.94-2.97, 3 Cd 3.28-3.29
10 Cd 0.8392 0.1608 0.3245  9 Ag 2.92-3.21
11 Cd 0.5000 0.5000 0.0000  8 Ag 2.91
12 Cd 0.1608 0.8392 0.6755  9 Ag 2.92-3.21

Values from the calculation:
Polymorph energy (0 for the lowest one) = 0.00 eV/f.u.
Energy of formation = -0.0191 eV/atom
Mass density = 9.39 g/cm³
Symmetry = No. 12
E = -2.37 eV/atom


[3]
Cd5In12Ag3 | PBE | optimized geometry

Cell: 14.5632 14.5632 14.5632 Å, 109.47 109.47 109.47°
With the nearest neighbours (Å) after each atom.
Fractional positions:
1 In 0.1654 0.0682 0.9302  2 Ag 2.85-3.18, 2 Cd 2.87-2.92, 1 In 3.01
2 In 0.1380 0.7352 0.5698  2 Ag 2.85-3.18, 2 Cd 2.87-2.92, 1 In 3.01
3 In 0.8620 0.2648 0.4302  2 Ag 2.85-3.18, 2 Cd 2.87-2.92, 1 In 3.01
4 In 0.0972 0.9318 0.3620  2 Ag 2.85-3.18, 2 Cd 2.87-2.92, 1 In 3.01
5 In 0.1654 0.0972 0.7352  2 Ag 2.85-3.18, 2 Cd 2.87-2.92, 1 In 3.01
6 In 0.7352 0.1380 0.0698  2 Ag 2.85-3.18, 2 Cd 2.87-2.92, 1 In 3.01
7 In 0.5698 0.3346 0.9318  2 Ag 2.85-3.18, 2 Cd 2.87-2.92, 1 In 3.01
8 In 0.9028 0.8346 0.7648  2 Ag 2.85-3.18, 2 Cd 2.87-2.92, 1 In 3.01
9 In 0.3620 0.9302 0.7648  2 Ag 2.85-3.18, 2 Cd 2.87-2.92, 1 In 3.01
10 In 0.4318 0.0698 0.3346  2 Ag 2.85-3.18, 2 Cd 2.87-2.92, 1 In 3.01
11 In 0.5972 0.7352 0.6654  2 Ag 2.85-3.18, 2 Cd 2.87-2.92, 1 In 3.01
12 In 0.3620 0.4318 0.0972  2 Ag 2.85-3.18, 2 Cd 2.87-2.92, 1 In 3.01
13 In 0.9302 0.5682 0.1654  2 Ag 2.85-3.18, 2 Cd 2.87-2.92, 1 In 3.01
14 In 0.6654 0.4302 0.5682  2 Ag 2.85-3.18, 2 Cd 2.87-2.92, 1 In 3.01
15 In 0.0698 0.4318 0.8346  2 Ag 2.85-3.18, 2 Cd 2.87-2.92, 1 In 3.01
16 In 0.8346 0.9318 0.0698  2 Ag 2.85-3.18, 2 Cd 2.87-2.92, 1 In 3.01
17 In 0.2352 0.5698 0.6380  2 Ag 2.85-3.18, 2 Cd 2.87-2.92, 1 In 3.01
18 In 0.6380 0.5682 0.9028  2 Ag 2.85-3.18, 2 Cd 2.87-2.92, 1 In 3.01
19 In 0.0682 0.1654 0.4302  2 Ag 2.85-3.18, 2 Cd 2.87-2.92, 1 In 3.01
20 In 0.4028 0.1380 0.5682  2 Ag 2.85-3.18, 2 Cd 2.87-2.92, 1 In 3.01
21 In 0.7352 0.5972 0.1654  2 Ag 2.85-3.18, 2 Cd 2.87-2.92, 1 In 3.01
22 In 0.3346 0.7648 0.4028  2 Ag 2.85-3.18, 2 Cd 2.87-2.92, 1 In 3.01
23 In 0.8620 0.5972 0.9318  2 Ag 2.85-3.18, 2 Cd 2.87-2.92, 1 In 3.01
24 In 0.5698 0.2352 0.1380  2 Ag 2.85-3.18, 2 Cd 2.87-2.92, 1 In 3.01
25 In 0.8346 0.9028 0.2648  2 Ag 2.85-3.18, 2 Cd 2.87-2.92, 1 In 3.01
26 In 0.7648 0.4302 0.3620  2 Ag 2.85-3.18, 2 Cd 2.87-2.92, 1 In 3.01
27 In 0.4318 0.3620 0.5972  2 Ag 2.85-3.18, 2 Cd 2.87-2.92, 1 In 3.01
28 In 0.9302 0.3620 0.2648  2 Ag 2.85-3.18, 2 Cd 2.87-2.92, 1 In 3.01
29 In 0.5972 0.8620 0.4318  2 Ag 2.85-3.18, 2 Cd 2.87-2.92, 1 In 3.01
30 In 0.4302 0.6654 0.0682  2 Ag 2.85-3.18, 2 Cd 2.87-2.92, 1 In 3.01
31 In 0.2648 0.8620 0.9302  2 Ag 2.85-3.18, 2 Cd 2.87-2.92, 1 In 3.01
32 In 0.5682 0.9302 0.6654  2 Ag 2.85-3.18, 2 Cd 2.87-2.92, 1 In 3.01
33 In 0.2648 0.4028 0.8346  2 Ag 2.85-3.18, 2 Cd 2.87-2.92, 1 In 3.01
34 In 0.6654 0.2352 0.5972  2 Ag 2.85-3.18, 2 Cd 2.87-2.92, 1 In 3.01
35 In 0.3346 0.5698 0.4318  2 Ag 2.85-3.18, 2 Cd 2.87-2.92, 1 In 3.01
36 In 0.4302 0.7648 0.8620  2 Ag 2.85-3.18, 2 Cd 2.87-2.92, 1 In 3.01
37 In 0.7648 0.3346 0.9028  2 Ag 2.85-3.18, 2 Cd 2.87-2.92, 1 In 3.01
38 In 0.5682 0.6380 0.4028  2 Ag 2.85-3.18, 2 Cd 2.87-2.92, 1 In 3.01
39 In 0.9318 0.8346 0.5698  2 Ag 2.85-3.18, 2 Cd 2.87-2.92, 1 In 3.01
40 In 0.0698 0.6380 0.7352  2 Ag 2.85-3.18, 2 Cd 2.87-2.92, 1 In 3.01
41 In 0.9028 0.0682 0.6380  2 Ag 2.85-3.18, 2 Cd 2.87-2.92, 1 In 3.01
42 In 0.1380 0.4028 0.0682  2 Ag 2.85-3.18, 2 Cd 2.87-2.92, 1 In 3.01
43 In 0.6380 0.0698 0.2352  2 Ag 2.85-3.18, 2 Cd 2.87-2.92, 1 In 3.01
44 In 0.9318 0.0972 0.8620  2 Ag 2.85-3.18, 2 Cd 2.87-2.92, 1 In 3.01
45 In 0.4028 0.2648 0.3346  2 Ag 2.85-3.18, 2 Cd 2.87-2.92, 1 In 3.01
46 In 0.2352 0.6654 0.0972  2 Ag 2.85-3.18, 2 Cd 2.87-2.92, 1 In 3.01
47 In 0.0972 0.1654 0.2352  2 Ag 2.85-3.18, 2 Cd 2.87-2.92, 1 In 3.01
48 In 0.0682 0.9028 0.1380  2 Ag 2.85-3.18, 2 Cd 2.87-2.92, 1 In 3.01
49 Ag 0.8750 0.1250 0.2500  8 In 2.85-3.18
50 Ag 0.3750 0.6250 0.2500  8 In 2.85-3.18
51 Ag 0.2500 0.1250 0.3750  8 In 2.85-3.18
52 Ag 0.7500 0.3750 0.1250  8 In 2.85-3.18
53 Ag 0.2500 0.6250 0.8750  8 In 2.85-3.18
54 Ag 0.7500 0.8750 0.6250  8 In 2.85-3.18
55 Ag 0.1250 0.8750 0.7500  8 In 2.85-3.18
56 Ag 0.8750 0.7500 0.1250  8 In 2.85-3.18
57 Ag 0.6250 0.3750 0.7500  8 In 2.85-3.18
58 Ag 0.6250 0.2500 0.3750  8 In 2.85-3.18
59 Ag 0.3750 0.7500 0.6250  8 In 2.85-3.18
60 Ag 0.1250 0.2500 0.8750  8 In 2.85-3.18
61 Cd 0.0000 0.5000 0.0000  6 In 2.92
62 Cd 0.8750 0.6250 0.7500  4 In 2.87
63 Cd 0.5000 0.0000 0.0000  6 In 2.92
64 Cd 0.7500 0.1250 0.8750  4 In 2.87
65 Cd 0.0000 0.0000 0.0000  6 In 2.92
66 Cd 0.6250 0.8750 0.2500  4 In 2.87
67 Cd 0.6250 0.7500 0.8750  4 In 2.87
68 Cd 0.8750 0.2500 0.6250  4 In 2.87
69 Cd 0.2500 0.3750 0.6250  4 In 2.87
70 Cd 0.3750 0.2500 0.1250  4 In 2.87
71 Cd 0.1250 0.3750 0.2500  4 In 2.87
72 Cd 0.2500 0.8750 0.1250  4 In 2.87
73 Cd 0.5000 0.5000 0.5000  6 In 2.92
74 Cd 0.0000 0.0000 0.5000  6 In 2.92
75 Cd 0.5000 0.0000 0.5000  6 In 2.92
76 Cd 0.1250 0.7500 0.3750  4 In 2.87
77 Cd 0.3750 0.1250 0.7500  4 In 2.87
78 Cd 0.7500 0.6250 0.3750  4 In 2.87
79 Cd 0.0000 0.5000 0.5000  6 In 2.92
80 Cd 0.5000 0.5000 0.0000  6 In 2.92

Values from the calculation:
Energy of formation = 0.1735 eV/atom
Mass density = 6.32 g/cm³
Symmetry = No. 230
E = -2.13 eV/atom


[4]
CdInAg | PBE | optimized geometry

Cell: 3.2326 6.2555 7.3832 Å, 112.23 104.65 89.58°
With the nearest neighbours (Å) after each atom.
Fractional positions:
1 In 0.2809 0.9204 0.3342  4 Ag 2.99-3.09, 4 Cd 3.02-3.16, 2 In 3.23
2 In 0.5971 0.1835 0.9546  4 Ag 2.99-3.09, 4 Cd 3.02-3.16, 2 In 3.23
3 Cd 0.2793 0.4252 0.3494  4 Ag 2.95-3.02, 4 In 3.02-3.16, 2 Cd 3.23
4 Cd 0.5981 0.6787 0.9395  4 Ag 2.95-3.02, 4 In 3.02-3.16, 2 Cd 3.23
5 Ag 0.9381 0.8033 0.6433  4 Cd 2.95-3.02, 4 In 2.99-3.09, 4 Ag 3.11-3.23
6 Ag 0.9400 0.3007 0.6455  4 Cd 2.95-3.02, 4 In 2.99-3.09, 4 Ag 3.11-3.23

Values from the calculation:
Energy of formation = 0.0028 eV/atom
Mass density = 8.36 g/cm³
Symmetry = No. 2
E = -2.17 eV/atom